Entry 1:
BeTl2P | PBE | relaxed

## Properties
Energy of formation from the pure elements in eV per atom: 0.228
DOS(E_F) in states/eV/atom: 0.477
V in Å³/cell: 186.8
Polymorph energy (0 for the lowest one) in eV/atom: 0.102
E in eV/atom: -3.239
ρ in Mg/m³: 8.0

Cell lengths 3.8142, 5.6747, 8.6325 Å; angles 90.00, 90.00, 90.00 degrees
Last column: nearest neighbours and their distance in Å.
Space group Cmm2 (No. 35)
Asymmetric unit:
Be 0.0000 0.0000 0.0000  2 P 2.05
Tl 0.0000 0.0000 0.3862  2 P 3.21, 1 Be 3.33, 6 Tl 3.42-3.57
Tl 0.0000 0.5000 0.7363  2 Be 2.97, 1 P 3.03
P 0.0000 0.5000 0.0872  2 Be 2.05



Entry 2:
ScP2OF | PBE | relaxed

## Properties
DOS(E_F) in states/eV/atom: 0.660
V in Å³/cell: 71.6
Polymorph energy (0 for the lowest one) in eV/atom: 0.000
E in eV/atom: -5.035
ρ in Mg/m³: 3.3

Cell lengths 3.8728, 3.8728, 4.7760 Å; angles 90.00, 90.00, 90.00 degrees
Last column: nearest neighbours and their distance in Å.
Space group P4/mmm (No. 123)
Asymmetric unit:
Sc 0.0000 0.0000 0.0000  4 O 2.74
P 0.0000 0.5000 0.5000  2 F 1.94
O 0.5000 0.5000 0.0000  2 F 2.39
F 0.5000 0.5000 0.5000  4 P 1.94



Entry 3:
Sr8Sn2P | PBE | relaxed

## Properties
Energy of formation from the pure elements in eV per atom: -0.460
DOS(E_F) in states/eV/atom: 0.933
V in Å³/cell: 850.5
E in eV/atom: -2.903
ρ in Mg/m³: 3.8

Cell lengths 21.0945, 5.4882, 7.5513 Å; angles 90.00, 103.38, 90.00 degrees
Last column: nearest neighbours and their distance in Å.
Space group C2/m (No. 12)
Asymmetric unit:
Sr 0.0291 0.0000 0.2960  2 P 3.27, 1 Sn 3.47, 1 Sr 3.57
Sr 0.0907 0.5000 0.9178  1 P 3.29
Sr 0.1496 0.5000 0.4656  1 P 3.23, 2 Sn 3.44
Sr 0.2193 0.0000 0.8063  3 Sn 3.43-3.46, 3 Sr 3.81-3.82
Sn 0.1872 0.0000 0.2346  7 Sr 3.43-3.66
P 0.0000 0.5000 0.5000  8 Sr 3.23-3.29



Entry 4:
Tb11Pm4Dy9 | PBE | relaxed

## Properties
Energy of formation from the pure elements in eV per atom: 0.057
DOS(E_F) in states/eV/atom: 1.249
V in Å³/cell: 1555.9
E in eV/atom: -4.583
ρ in Mg/m³: 8.1

Cell lengths 16.7486, 25.1896, 3.6879 Å; angles 90.00, 90.00, 90.00 degrees
Last column: nearest neighbours and their distance in Å.
Space group Cmmm (No. 65)
Asymmetric unit:
Tb 0.0000 0.0000 0.0000  8 Dy 3.50, 2 Tb 3.69
Tb 0.0000 0.1592 0.0000  8 Dy 3.65-3.68, 5 Tb 3.69-4.01
Tb 0.0000 0.3653 0.0000  4 Pm 3.29, 4 Dy 3.58
Tb 0.2107 0.5000 0.0000  4 Pm 3.27, 4 Dy 3.62
Tb 0.2263 0.1812 0.0000  2 Pm 3.39, 6 Dy 3.48-3.69, 3 Tb 3.56-3.69
Pm 0.1545 0.3993 0.5000  6 Tb 3.27-3.39, 3 Dy 3.52-3.62
Dy 0.0000 0.5000 0.5000  4 Pm 3.62, 2 Dy 3.69, 8 Tb 3.86-3.98
Dy 0.1016 0.2642 0.5000  3 Dy 3.40-3.69, 8 Tb 3.48-3.69, 1 Pm 3.52
Dy 0.1393 0.0729 0.5000  8 Tb 3.50-3.68, 1 Pm 3.52, 3 Dy 3.67-3.69



Entry 5:
Ca2CuAg2 | PBE | relaxed

## Properties
Energy of formation from the pure elements in eV per atom: -0.003
DOS(E_F) in states/eV/atom: 0.499
V in Å³/cell: 264.2
Polymorph energy (0 for the lowest one) in eV/atom: 0.141
E in eV/atom: -2.763
ρ in Mg/m³: 4.5

Cell lengths 5.8182, 5.8182, 7.8039 Å; angles 90.00, 90.00, 90.00 degrees
Last column: nearest neighbours and their distance in Å.
Space group I4/mmm (No. 139)
Asymmetric unit:
Ca 0.0000 0.5000 0.2500  4 Ag 2.98
Cu 0.0000 0.0000 0.0000  2 Ag 2.58
Ag 0.0000 0.0000 0.3309  1 Cu 2.58, 1 Ag 2.64



Entry 6:
Zr3H3Pt | PBE | relaxed

## Properties
DOS(E_F) in states/eV/atom: 0.527
V in Å³/cell: 181.5
E in eV/atom: -6.516
ρ in Mg/m³: 8.6

Cell lengths 5.6616, 5.6616, 5.6616 Å; angles 90.00, 90.00, 90.00 degrees
Last column: nearest neighbours and their distance in Å.
Space group Pm-3n (No. 223)
Asymmetric unit:
Zr 0.0000 0.2500 0.5000  4 H 2.00
H 0.0000 0.5000 0.2500  4 Zr 2.00
Pt 0.0000 0.0000 0.0000  12 Zr 3.16, 12 H 3.16